# 1
A plane-wave DFT calculation with PBE was carried out for LiFeRe2 after structural relaxation.

Properties
Energy above the lowest structure with this stoichiometry ... 93 meV/atom
M_tot ... 1.654 μB per cell
Energy relative to the elements ... 29 kJ/mol of atoms
D(E_F) ... 3.1 states/eV per cell
Energy ... -34.1 eV for the cell shown

Cell lengths 2.600, 4.023, 5.176 Å; angles 90.00, 90.00, 90.00 degrees
Space group Pmm2 (No. 25)
Unique sites:
Li: 0.000 0.000 0.000 x1
Fe: 0.500 0.500 0.777 x1
Re: 0.000 0.000 0.508 x1
Re: 0.500 0.500 0.261 x1

# 2
A plane-wave DFT calculation with PBE was carried out for LiFeReRh after structural relaxation.

Properties
M_tot ... 3.675 μB per cell
Energy relative to the elements ... 11 kJ/mol of atoms
D(E_F) ... 12.2 states/eV per cell
Energy ... -118.9 eV for the cell shown

Cell lengths 5.903, 5.903, 5.903 Å; angles 90.00, 90.00, 90.00 degrees
Space group F-43m (No. 216)
Unique sites:
Li: 0.000 0.000 0.000 x4
Fe: 0.250 0.250 0.750 x4
Re: 0.000 0.000 0.500 x4
Rh: 0.250 0.250 0.250 x4

# 3
A plane-wave DFT calculation with PBE was carried out for Li2FeReSn after structural relaxation.

Properties
M_tot ... 1.873 μB per cell
Energy relative to the elements ... 126 kJ/mol of atoms
D(E_F) ... 6.9 states/eV per cell
Energy ... -22.2 eV for the cell shown

Cell lengths 4.189, 4.189, 4.750 Å; angles 90.00, 90.00, 90.00 degrees
Space group P4/mmm (No. 123)
Unique sites:
Li: 0.000 0.500 0.000 x2
Fe: 0.000 0.000 0.000 x1
Re: 0.500 0.500 0.500 x1
Sn: 0.000 0.000 0.500 x1